No. 1
Here is TbSc2AlN after structural relaxation from Alexandria via LeMat-Bulk. Energies are from PBE.

Summary:
Size of the total moment (μB/cell): 0.0
Formation energy from raw total energies (eV per atom): -0.9924

Lattice parameters (Å, degrees): 4.4614 4.4614 4.7609 90.00 90.00 90.00
Space group P4/mmm (No. 123)
Unique sites:
1 Tb 0.0000 0.0000 0.0000 x1
2 Sc 0.0000 0.5000 0.5000 x2
3 Al 0.5000 0.5000 0.0000 x1
4 N 0.0000 0.0000 0.5000 x1

=====

No. 2
Here is CuNi5I12 after structural relaxation from Alexandria via LeMat-Bulk. Energies are from PBE.

Summary:
Size of the total moment (μB/cell): 18.0
Formation energy from raw total energies (eV per atom): -0.0766

Lattice parameters (Å, degrees): 6.8323 11.8430 14.7502 90.00 90.03 90.00
Space group C2/m (No. 12)
Unique sites:
1 Cu 0.0000 0.0000 0.0000 x2
2 Ni 0.0000 0.1666 0.5000 x4
3 Ni 0.0000 0.3334 0.0000 x4
4 Ni 0.0000 0.5000 0.5000 x2
5 I 0.1547 0.5000 0.1041 x4
6 I 0.1663 0.0000 0.3976 x4
7 I 0.1664 0.3334 0.3977 x8
8 I 0.1727 0.1727 0.1041 x8

=====

No. 3
Here is La2ReAg after structural relaxation from Alexandria via LeMat-Bulk. Energies are from PBE.

Summary:
Size of the total moment (μB/cell): 0.0
Formation enthalpy at 0 K (kJ/mol of formula units): 22
Energy relative to the lowest polymorph listed for this composition (kcal/mol of atoms): 0.00

Lattice parameters (Å, degrees): 3.5736 3.5736 7.9875 90.00 90.00 90.00
Space group P4/mmm (No. 123)
Unique sites:
1 La 0.0000 0.0000 0.2189 x2
2 Re 0.5000 0.5000 0.0000 x1
3 Ag 0.5000 0.5000 0.5000 x1

=====

No. 4
Here is Rb3TbI6 after structural relaxation from Alexandria via LeMat-Bulk. Energies are from PBE.

Summary:
Size of the total moment (μB/cell): 0.0
Formation energy from raw total energies (eV per atom): -1.4738

Lattice parameters (Å, degrees): 8.7136 9.3365 14.9875 90.00 123.89 90.00
Space group P2_1/c (No. 14)
Unique sites:
1 Rb 0.0000 0.0000 0.0000 x2
2 Rb 0.2080 0.0826 0.7422 x4
3 Tb 0.5000 0.0000 0.5000 x2
4 I 0.1615 0.1754 0.4446 x4
5 I 0.2635 0.7263 0.4242 x4
6 I 0.4067 0.0528 0.2736 x4

=====

No. 5
Here is Sc3Be2Ni7 after structural relaxation from Alexandria via LeMat-Bulk. Energies are from PBE.

Summary:
Size of the total moment (μB/cell): 0.0
Formation enthalpy at 0 K (kJ/mol of formula units): -586

Lattice parameters (Å, degrees): 4.8970 4.8970 21.9905 90.00 90.00 120.00
Space group R-3m (No. 166, hexagonal axes)
Unique sites:
1 Sc 0.0000 0.0000 0.0000 x3
2 Sc 0.0000 0.0000 0.1404 x6
3 Be 0.0000 0.0000 0.3339 x6
4 Ni 0.0000 0.0000 0.5000 x3
5 Ni 0.0016 0.5008 0.9229 x18

=====

No. 6
Here is Ho3Ge2Pt6 after structural relaxation from Alexandria via LeMat-Bulk. Energies are from PBE.

Summary:
Size of the total moment (μB/cell): 0.0
Formation enthalpy at 0 K (kJ/mol of formula units): -1000

Lattice parameters (Å, degrees): 9.4806 9.4806 9.4806 90.00 90.00 90.00
Space group Im-3m (No. 229)
Unique sites:
1 Ho 0.0000 0.0000 0.2932 x12
2 Ge 0.2500 0.2500 0.2500 x8
3 Pt 0.0000 0.3243 0.3243 x24

=====

No. 7
Here is ScMoPb after structural relaxation from Alexandria via LeMat-Bulk. Energies are from PBE.

Summary:
Size of the total moment (μB/cell): 1.7
Formation enthalpy at 0 K (kJ/mol of formula units): 33
Energy relative to the lowest polymorph listed for this composition (kcal/mol of atoms): 0.00

Lattice parameters (Å, degrees): 3.5916 3.5916 9.4404 90.00 90.00 90.00
Space group I4mm (No. 107)
Unique sites:
1 Sc 0.0000 0.0000 0.0000 x2
2 Mo 0.0000 0.0000 0.6573 x2
3 Pb 0.0000 0.0000 0.3182 x2

=====

No. 8
Here is Tl2As2Pd after structural relaxation from Alexandria via LeMat-Bulk. Energies are from PBE.

Summary:
Size of the total moment (μB/cell): 0.0
Formation enthalpy at 0 K (kJ/mol of formula units): -39
Energy relative to the lowest polymorph listed for this composition (kcal/mol of atoms): 0.76

Lattice parameters (Å, degrees): 11.0224 5.9393 8.4895 90.00 116.04 90.00
Space group C2/c (No. 15)
Unique sites:
1 Tl 0.2008 0.0096 0.3521 x8
2 As 0.0094 0.2892 0.9692 x8
3 Pd 0.0000 0.4044 0.2500 x4

=====

No. 9
Here is ScTiAu3 after structural relaxation from Alexandria via LeMat-Bulk. Energies are from PBE.

Summary:
Size of the total moment (μB/cell): 0.4
Formation enthalpy at 0 K (kJ/mol of formula units): 129
Energy relative to the lowest polymorph listed for this composition (kcal/mol of atoms): 0.00

Lattice parameters (Å, degrees): 4.9130 4.9130 4.9130 90.00 90.00 90.00
Space group Pm-3m (No. 221)
Unique sites:
1 Sc 0.0000 0.0000 0.0000 x1
2 Ti 0.5000 0.5000 0.5000 x1
3 Au 0.0000 0.5000 0.5000 x3

=====

No. 10
Here is HoErSiRh after structural relaxation from Alexandria via LeMat-Bulk. Energies are from PBE.

Summary:
Size of the total moment (μB/cell): 0.0
Formation energy from raw total energies (eV per atom): -0.6911
Energy relative to the lowest polymorph listed for this composition (kcal/mol of atoms): 4.05

Lattice parameters (Å, degrees): 6.9049 6.9049 6.9049 90.00 90.00 90.00
Space group F-43m (No. 216)
Unique sites:
1 Ho 0.0000 0.0000 0.0000 x4
2 Er 0.0000 0.0000 0.5000 x4
3 Si 0.2500 0.2500 0.2500 x4
4 Rh 0.2500 0.2500 0.7500 x4

=====

No. 11
Here is KAlTc2 after structural relaxation from Alexandria via LeMat-Bulk. Energies are from PBE.

Summary:
Size of the total moment (μB/cell): 0.0
Formation enthalpy at 0 K (kJ/mol of formula units): 310

Lattice parameters (Å, degrees): 2.6240 5.3242 10.6657 90.00 90.00 90.00
Space group Immm (No. 71)
Unique sites:
1 K 0.0000 0.0000 0.0000 x2
2 Al 0.0000 0.0000 0.5000 x2
3 Tc 0.0000 0.5000 0.2091 x4

=====

No. 12
Here is TeOsSeI2 after structural relaxation from Alexandria via LeMat-Bulk. Energies are from PBE.

Summary:
Size of the total moment (μB/cell): 0.0
Formation energy from raw total energies (eV per atom): 0.8046
Energy relative to the lowest polymorph listed for this composition (kcal/mol of atoms): 0.00

Lattice parameters (Å, degrees): 5.4336 5.4336 5.0754 90.00 90.00 90.00
Space group P4/mmm (No. 123)
Unique sites:
1 Te 0.0000 0.0000 0.0000 x1
2 Os 0.0000 0.0000 0.5000 x1
3 Se 0.5000 0.5000 0.0000 x1
4 I 0.0000 0.5000 0.5000 x2

=====

No. 13
Here is Mg4SnRh5 after structural relaxation from Alexandria via LeMat-Bulk. Energies are from PBE.

Summary:
Size of the total moment (μB/cell): 0.0
Formation enthalpy at 0 K (kJ/mol of formula units): -497

Lattice parameters (Å, degrees): 3.1601 3.1601 15.6039 90.00 90.00 90.00
Space group P4/mmm (No. 123)
Unique sites:
1 Mg 0.0000 0.0000 0.0981 x2
2 Mg 0.0000 0.0000 0.2922 x2
3 Sn 0.0000 0.0000 0.5000 x1
4 Rh 0.5000 0.5000 0.0000 x1
5 Rh 0.5000 0.5000 0.1966 x2
6 Rh 0.5000 0.5000 0.3999 x2

=====

No. 14
Here is CrCoRh2 after structural relaxation from Alexandria via LeMat-Bulk. Energies are from PBE.

Summary:
Size of the total moment (μB/cell): 5.1
Formation enthalpy at 0 K (kJ/mol of formula units): 13

Lattice parameters (Å, degrees): 2.6675 2.6675 25.2585 90.00 90.00 120.00
Space group R-3m (No. 166, hexagonal axes)
Unique sites:
1 Cr 0.0000 0.0000 0.0000 x3
2 Co 0.0000 0.0000 0.5000 x3
3 Rh 0.0000 0.0000 0.2515 x6

=====

No. 15
Here is LiFeIr2 after structural relaxation from Alexandria via LeMat-Bulk. Energies are from PBE.

Summary:
Size of the total moment (μB/cell): 4.6
Formation enthalpy at 0 K (kJ/mol of formula units): -6

Lattice parameters (Å, degrees): 3.6766 3.6766 7.7020 90.00 90.00 90.00
Space group I-4m2 (No. 119)
Unique sites:
1 Li 0.0000 0.0000 0.0000 x2
2 Fe 0.0000 0.5000 0.7500 x2
3 Ir 0.0000 0.0000 0.5000 x2
4 Ir 0.0000 0.5000 0.2500 x2

=====

No. 16
Here is AlInAsBr2 after structural relaxation from Alexandria via LeMat-Bulk. Energies are from PBE.

Summary:
Size of the total moment (μB/cell): 2.5
Formation energy from raw total energies (eV per atom): 0.1863
Energy relative to the lowest polymorph listed for this composition (kcal/mol of atoms): 9.44

Lattice parameters (Å, degrees): 5.1033 5.1033 5.8127 90.00 90.00 90.00
Space group P4/mmm (No. 123)
Unique sites:
1 Al 0.0000 0.0000 0.0000 x1
2 In 0.0000 0.0000 0.5000 x1
3 As 0.5000 0.5000 0.5000 x1
4 Br 0.0000 0.5000 0.0000 x2

=====

No. 17
Here is Ni2AsW after structural relaxation from Alexandria via LeMat-Bulk. Energies are from PBE.

Summary:
Size of the total moment (μB/cell): 0.0
Formation enthalpy at 0 K (kJ/mol of formula units): 46

Lattice parameters (Å, degrees): 8.2239 2.7696 4.7632 90.00 98.97 90.00
Space group Cm (No. 8)
Unique sites:
1 Ni 0.0000 0.0000 0.0000 x2
2 Ni 0.2465 0.5000 0.2317 x2
3 As 0.4938 0.0000 0.4457 x2
4 W 0.2525 0.0000 0.7585 x2

=====

No. 18
Here is TbGaNi2 after structural relaxation from Alexandria via LeMat-Bulk. Energies are from PBE.

Summary:
Size of the total moment (μB/cell): 0.0
Formation enthalpy at 0 K (kJ/mol of formula units): -204

Lattice parameters (Å, degrees): 7.1797 6.5352 5.5678 90.00 90.00 90.00
Space group Pnma (No. 62)
Unique sites:
1 Tb 0.0322 0.2500 0.1562 x4
2 Ga 0.1220 0.7500 0.3424 x4
3 Ni 0.1730 0.0580 0.5815 x8

=====

No. 19
Here is RbGaCl2 after structural relaxation from Alexandria via LeMat-Bulk. Energies are from PBE.

Summary:
Size of the total moment (μB/cell): 0.0
Formation energy from raw total energies (eV per atom): -1.2751
Energy relative to the lowest polymorph listed for this composition (kcal/mol of atoms): 0.51

Lattice parameters (Å, degrees): 4.4499 4.4499 22.9160 90.00 90.00 120.00
Space group R3m (No. 160, hexagonal axes)
Unique sites:
1 Rb 0.0000 0.0000 0.0000 x3
2 Ga 0.0000 0.0000 0.8314 x3
3 Cl 0.0000 0.0000 0.2414 x3
4 Cl 0.0000 0.0000 0.4234 x3

=====

No. 20
Here is MoIrPb2 after structural relaxation from Alexandria via LeMat-Bulk. Energies are from PBE.

Summary:
Size of the total moment (μB/cell): 0.0
Formation enthalpy at 0 K (kJ/mol of formula units): 248
Energy relative to the lowest polymorph listed for this composition (kcal/mol of atoms): 9.85

Lattice parameters (Å, degrees): 4.7653 4.7653 3.4377 90.00 90.00 90.00
Space group P4/mmm (No. 123)
Unique sites:
1 Mo 0.0000 0.0000 0.0000 x1
2 Ir 0.5000 0.5000 0.0000 x1
3 Pb 0.0000 0.5000 0.5000 x2

=====

No. 21
Here is NaCeTcO6 after structural relaxation from Alexandria via LeMat-Bulk. Energies are from PBE.

Summary:
Size of the total moment (μB/cell): 0.0
Formation energy from raw total energies (eV per atom): -1.9510

Lattice parameters (Å, degrees): 5.4189 5.4189 4.8182 90.00 90.00 120.00
Space group P312 (No. 149)
Unique sites:
1 Na 0.0000 0.0000 0.0000 x1
2 Ce 0.6667 0.3333 0.5000 x1
3 Tc 0.3333 0.6667 0.0000 x1
4 O 0.0359 0.3935 0.2285 x6

=====

No. 22
Here is BaCdBr after structural relaxation from Alexandria via LeMat-Bulk. Energies are from PBE.

Summary:
Size of the total moment (μB/cell): 1.0
Formation energy from raw total energies (eV per atom): -0.7584
Energy relative to the lowest polymorph listed for this composition (kcal/mol of atoms): 3.39

Lattice parameters (Å, degrees): 8.0415 8.0415 8.0415 90.00 90.00 90.00
Space group F-43m (No. 216)
Unique sites:
1 Ba 0.0000 0.0000 0.0000 x4
2 Cd 0.2500 0.2500 0.2500 x4
3 Br 0.2500 0.2500 0.7500 x4

=====

No. 23
Here is SnSe2I after structural relaxation from Alexandria via LeMat-Bulk. Energies are from PBE.

Summary:
Size of the total moment (μB/cell): 0.0
Formation energy from raw total energies (eV per atom): 0.3109
Energy relative to the lowest polymorph listed for this composition (kcal/mol of atoms): 10.79

Lattice parameters (Å, degrees): 7.4454 7.4454 7.4454 90.00 90.00 90.00
Space group Fm-3m (No. 225)
Unique sites:
1 Sn 0.0000 0.0000 0.0000 x4
2 Se 0.2500 0.2500 0.2500 x8
3 I 0.0000 0.0000 0.5000 x4

=====

No. 24
Here is RbSr3 after structural relaxation from Alexandria via LeMat-Bulk. Energies are from PBE.

Summary:
Size of the total moment (μB/cell): 0.0
Formation enthalpy at 0 K (kJ/mol of formula units): 51
Energy relative to the lowest polymorph listed for this composition (kcal/mol of atoms): 1.51

Lattice parameters (Å, degrees): 6.2207 6.2207 6.2207 90.00 90.00 90.00
Space group Pm-3m (No. 221)
Unique sites:
1 Rb 0.0000 0.0000 0.0000 x1
2 Sr 0.0000 0.5000 0.5000 x3

=====

No. 25
Here is TmPuGeRh after structural relaxation from Alexandria via LeMat-Bulk. Energies are from PBE.

Summary:
Size of the total moment (μB/cell): 19.2
Formation enthalpy at 0 K (kJ/mol of formula units): -202

Lattice parameters (Å, degrees): 6.9674 6.9674 6.9674 90.00 90.00 90.00
Space group F-43m (No. 216)
Unique sites:
1 Tm 0.0000 0.0000 0.0000 x4
2 Pu 0.0000 0.0000 0.5000 x4
3 Ge 0.2500 0.2500 0.7500 x4
4 Rh 0.2500 0.2500 0.2500 x4